The following is a GGA-PBE calculation of crystalline LiTmSeO at its relaxed geometry, from OQMD via LeMat-Bulk.

Structure (POSCAR):
```
LiTmSeO
1.0
6.367 0.000 0.000
0.000 7.180 0.000
-1.117 0.000 6.238
Li Tm Se O
4 4 4 4
Cartesian
0.135 1.784 2.628
-0.423 1.806 5.747
5.673 5.373 0.491
5.115 5.396 3.610
2.119 4.462 4.821
2.678 6.308 1.701
2.573 0.872 4.537
3.131 2.718 1.418
0.819 4.247 2.200
0.261 6.522 5.319
4.989 0.657 0.919
4.431 2.932 4.039
1.980 1.102 2.460
1.421 2.488 5.579
3.829 4.692 0.659
3.271 6.078 3.778
```

Calculated values
Space-group type: P2_1/c (14)
Energy (eV for the cell shown): -96.8
E above lowest polymorph (kJ/mol of atoms): 6.1
M_tot (μB per formula unit): 0.00